# Nd2Sn5 (GGA-PBE, relaxed)
data_Nd2Sn5
_symmetry_space_group_name_H-M 'P 1'
_symmetry_Int_Tables_number 1
_cell_length_a 18.116
_cell_length_b 18.116
_cell_length_c 4.645
_cell_angle_alpha 90.00
_cell_angle_beta 90.00
_cell_angle_gamma 165.41
loop_
_symmetry_equiv_pos_as_xyz
'x,y,z'
loop_
_atom_site_label
_atom_site_fract_x
_atom_site_fract_y
_atom_site_fract_z
_atom_site_occupancy
Nd1 0.069 0.931 0.000 1
Nd2 0.204 0.796 0.000 1
Nd3 0.796 0.204 0.000 1
Nd4 0.931 0.069 0.000 1
Sn1 0.000 0.000 0.500 1
Sn2 0.139 0.861 0.500 1
Sn3 0.278 0.722 0.500 1
Sn4 0.361 0.639 0.000 1
Sn5 0.427 0.573 0.500 1
Sn6 0.500 0.500 0.000 1
Sn7 0.573 0.427 0.500 1
Sn8 0.639 0.361 0.000 1
Sn9 0.722 0.278 0.500 1
Sn10 0.861 0.139 0.500 1
# Total magnetic moment, μB per cell: 0.0
# Total DFT energy (no corrections), eV per atom: -4.797
# Energy of formation, meV per atom: -576



# PuPaAlW (GGA-PBE, relaxed)
data_PuPaAlW
_symmetry_space_group_name_H-M 'P 1'
_symmetry_Int_Tables_number 1
_cell_length_a 4.811
_cell_length_b 4.811
_cell_length_c 4.811
_cell_angle_alpha 60.00
_cell_angle_beta 60.00
_cell_angle_gamma 60.00
loop_
_symmetry_equiv_pos_as_xyz
'x,y,z'
loop_
_atom_site_label
_atom_site_fract_x
_atom_site_fract_y
_atom_site_fract_z
_atom_site_occupancy
Pu1 0.000 0.000 0.000 1
Pa1 0.250 0.250 0.250 1
Al1 0.750 0.750 0.750 1
W1 0.500 0.500 0.500 1
# Total magnetic moment, μB per cell: 4.5
# Total DFT energy (no corrections), eV per atom: -10.085
# Energy of formation, meV per atom: 46



# K4NaNp3Se8 (GGA-PBE, relaxed)
data_K4NaNp3Se8
_symmetry_space_group_name_H-M 'P 1'
_symmetry_Int_Tables_number 1
_cell_length_a 9.064
_cell_length_b 9.064
_cell_length_c 9.064
_cell_angle_alpha 56.32
_cell_angle_beta 56.32
_cell_angle_gamma 56.32
loop_
_symmetry_equiv_pos_as_xyz
'x,y,z'
loop_
_atom_site_label
_atom_site_fract_x
_atom_site_fract_y
_atom_site_fract_z
_atom_site_occupancy
K1 0.000 0.000 0.000 1
K2 0.000 0.500 0.500 1
K3 0.500 0.000 0.500 1
K4 0.500 0.500 0.000 1
Na1 0.500 0.500 0.500 1
Np1 0.000 0.000 0.500 1
Np2 0.000 0.500 0.000 1
Np3 0.500 0.000 0.000 1
Se1 0.216 0.743 0.743 1
Se2 0.235 0.235 0.235 1
Se3 0.257 0.257 0.784 1
Se4 0.257 0.784 0.257 1
Se5 0.743 0.216 0.743 1
Se6 0.743 0.743 0.216 1
Se7 0.765 0.765 0.765 1
Se8 0.784 0.257 0.257 1
# Total magnetic moment, μB per cell: 10.0
# Total DFT energy (no corrections), eV per atom: -5.770
# ΔE_f (raw), kcal/mol of atoms: -28.69



# AlTlMo3 (GGA-PBE, relaxed)
data_AlTlMo3
_symmetry_space_group_name_H-M 'P 1'
_symmetry_Int_Tables_number 1
_cell_length_a 4.605
_cell_length_b 4.605
_cell_length_c 4.605
_cell_angle_alpha 90.00
_cell_angle_beta 90.00
_cell_angle_gamma 90.00
loop_
_symmetry_equiv_pos_as_xyz
'x,y,z'
loop_
_atom_site_label
_atom_site_fract_x
_atom_site_fract_y
_atom_site_fract_z
_atom_site_occupancy
Al1 0.000 0.000 0.000 1
Tl1 0.500 0.500 0.500 1
Mo1 0.000 0.000 0.500 1
Mo2 0.000 0.500 0.000 1
Mo3 0.500 0.000 0.000 1
# Total magnetic moment, μB per cell: 1.2
# Total DFT energy (no corrections), eV per atom: -6.295
# Energy of formation, meV per atom: 1425
# Distance to the lowest polymorph of the same formula, meV per atom: 0



# Cs2NdSiS4 (GGA-PBE, relaxed)
data_Cs2NdSiS4
_symmetry_space_group_name_H-M 'P 1'
_symmetry_Int_Tables_number 1
_cell_length_a 14.953
_cell_length_b 13.499
_cell_length_c 7.995
_cell_angle_alpha 84.00
_cell_angle_beta 63.87
_cell_angle_gamma 32.12
loop_
_symmetry_equiv_pos_as_xyz
'x,y,z'
loop_
_atom_site_label
_atom_site_fract_x
_atom_site_fract_y
_atom_site_fract_z
_atom_site_occupancy
Cs1 0.055 0.055 0.695 1
Cs2 0.305 0.305 0.945 1
Cs3 0.695 0.695 0.055 1
Cs4 0.945 0.945 0.305 1
Nd1 0.125 0.125 0.125 1
Nd2 0.875 0.875 0.875 1
Si1 0.375 0.375 0.375 1
Si2 0.625 0.625 0.625 1
S1 0.049 0.609 0.526 1
S2 0.316 0.526 0.609 1
S3 0.391 0.951 0.684 1
S4 0.474 0.684 0.951 1
S5 0.526 0.316 0.049 1
S6 0.609 0.049 0.316 1
S7 0.684 0.474 0.391 1
S8 0.951 0.391 0.474 1
# Total magnetic moment, μB per cell: 0.0
# Total DFT energy (no corrections), eV per atom: -4.689
# ΔE_f (raw), kcal/mol of atoms: -26.25



# Na3In2Pd (GGA-PBE, relaxed)
data_Na3In2Pd
_symmetry_space_group_name_H-M 'P 1'
_symmetry_Int_Tables_number 1
_cell_length_a 8.378
_cell_length_b 8.378
_cell_length_c 3.545
_cell_angle_alpha 90.00
_cell_angle_beta 90.00
_cell_angle_gamma 142.57
loop_
_symmetry_equiv_pos_as_xyz
'x,y,z'
loop_
_atom_site_label
_atom_site_fract_x
_atom_site_fract_y
_atom_site_fract_z
_atom_site_occupancy
Na1 0.000 0.000 0.000 1
Na2 0.188 0.812 0.500 1
Na3 0.812 0.188 0.500 1
In1 0.370 0.630 0.000 1
In2 0.630 0.370 0.000 1
Pd1 0.500 0.500 0.500 1
# Total magnetic moment, μB per cell: 0.0
# Total DFT energy (no corrections), eV per atom: -2.630
# Energy of formation, meV per atom: -192



# Ta2AgMo (GGA-PBE, relaxed)
data_Ta2AgMo
_symmetry_space_group_name_H-M 'P 1'
_symmetry_Int_Tables_number 1
_cell_length_a 4.620
_cell_length_b 4.620
_cell_length_c 4.620
_cell_angle_alpha 60.00
_cell_angle_beta 60.00
_cell_angle_gamma 60.00
loop_
_symmetry_equiv_pos_as_xyz
'x,y,z'
loop_
_atom_site_label
_atom_site_fract_x
_atom_site_fract_y
_atom_site_fract_z
_atom_site_occupancy
Ta1 0.000 0.000 0.000 1
Ta2 0.250 0.250 0.250 1
Ag1 0.750 0.750 0.750 1
Mo1 0.500 0.500 0.500 1
# Total magnetic moment, μB per cell: 0.0
# Total DFT energy (no corrections), eV per atom: -8.946
# Energy of formation, meV per atom: 401
# Distance to the lowest polymorph of the same formula, meV per atom: 308



# B2C3 (GGA-PBE, relaxed)
data_B2C3
_symmetry_space_group_name_H-M 'P 1'
_symmetry_Int_Tables_number 1
_cell_length_a 4.448
_cell_length_b 4.448
_cell_length_c 6.408
_cell_angle_alpha 110.36
_cell_angle_beta 110.36
_cell_angle_gamma 32.75
loop_
_symmetry_equiv_pos_as_xyz
'x,y,z'
loop_
_atom_site_label
_atom_site_fract_x
_atom_site_fract_y
_atom_site_fract_z
_atom_site_occupancy
B1 0.000 0.000 0.000 1
B2 0.014 0.014 0.725 1
B3 0.645 0.645 0.154 1
B4 0.861 0.861 0.181 1
C1 0.215 0.215 0.777 1
C2 0.230 0.230 0.537 1
C3 0.414 0.414 0.565 1
C4 0.453 0.453 0.356 1
C5 0.641 0.641 0.405 1
C6 0.800 0.800 0.898 1
# Total magnetic moment, μB per cell: 0.0
# Total DFT energy (no corrections), eV per atom: -7.843
# Energy of formation, meV per atom: 362
# Distance to the lowest polymorph of the same formula, meV per atom: 126



# PuHfH4 (GGA-PBE, relaxed)
data_PuHfH4
_symmetry_space_group_name_H-M 'P 1'
_symmetry_Int_Tables_number 1
_cell_length_a 3.355
_cell_length_b 3.355
_cell_length_c 5.405
_cell_angle_alpha 90.00
_cell_angle_beta 90.00
_cell_angle_gamma 90.00
loop_
_symmetry_equiv_pos_as_xyz
'x,y,z'
loop_
_atom_site_label
_atom_site_fract_x
_atom_site_fract_y
_atom_site_fract_z
_atom_site_occupancy
Pu1 0.000 0.000 0.000 1
Hf1 0.500 0.500 0.500 1
H1 0.000 0.500 0.286 1
H2 0.000 0.500 0.714 1
H3 0.500 0.000 0.286 1
H4 0.500 0.000 0.714 1
# Total magnetic moment, μB per cell: 5.3
# Total DFT energy (no corrections), eV per atom: -6.736
# Distance to the lowest polymorph of the same formula, meV per atom: 0



# CaDyYTm (GGA-PBE, relaxed)
data_CaDyYTm
_symmetry_space_group_name_H-M 'P 1'
_symmetry_Int_Tables_number 1
_cell_length_a 5.728
_cell_length_b 5.728
_cell_length_c 5.728
_cell_angle_alpha 60.00
_cell_angle_beta 60.00
_cell_angle_gamma 60.00
loop_
_symmetry_equiv_pos_as_xyz
'x,y,z'
loop_
_atom_site_label
_atom_site_fract_x
_atom_site_fract_y
_atom_site_fract_z
_atom_site_occupancy
Ca1 0.000 0.000 0.000 1
Dy1 0.250 0.250 0.250 1
Y1 0.750 0.750 0.750 1
Tm1 0.500 0.500 0.500 1
# Total magnetic moment, μB per cell: 0.0
# Total DFT energy (no corrections), eV per atom: -4.219
# Energy of formation, meV per atom: 166



# CoNiCl2 (GGA-PBE, relaxed)
data_CoNiCl2
_symmetry_space_group_name_H-M 'P 1'
_symmetry_Int_Tables_number 1
_cell_length_a 4.362
_cell_length_b 4.362
_cell_length_c 4.362
_cell_angle_alpha 60.00
_cell_angle_beta 60.00
_cell_angle_gamma 60.00
loop_
_symmetry_equiv_pos_as_xyz
'x,y,z'
loop_
_atom_site_label
_atom_site_fract_x
_atom_site_fract_y
_atom_site_fract_z
_atom_site_occupancy
Co1 0.000 0.000 0.000 1
Ni1 0.500 0.500 0.500 1
Cl1 0.250 0.250 0.250 1
Cl2 0.750 0.750 0.750 1
# Total magnetic moment, μB per cell: 3.0
# Total DFT energy (no corrections), eV per atom: -3.718
# ΔE_f (raw), kcal/mol of atoms: 9.85
# Distance to the lowest polymorph of the same formula, meV per atom: 580



# Ca2PrPaBi4 (GGA-PBE, relaxed)
data_Ca2PrPaBi4
_symmetry_space_group_name_H-M 'P 1'
_symmetry_Int_Tables_number 1
_cell_length_a 7.911
_cell_length_b 4.618
_cell_length_c 7.964
_cell_angle_alpha 90.00
_cell_angle_beta 109.46
_cell_angle_gamma 90.00
loop_
_symmetry_equiv_pos_as_xyz
'x,y,z'
loop_
_atom_site_label
_atom_site_fract_x
_atom_site_fract_y
_atom_site_fract_z
_atom_site_occupancy
Ca1 0.000 0.000 0.000 1
Ca2 0.000 0.500 0.500 1
Pr1 0.500 0.000 0.500 1
Pa1 0.500 0.500 0.000 1
Bi1 0.257 0.500 0.240 1
Bi2 0.262 0.000 0.764 1
Bi3 0.738 0.000 0.236 1
Bi4 0.743 0.500 0.760 1
# Total magnetic moment, μB per cell: 0.1
# Total DFT energy (no corrections), eV per atom: -4.900
# Energy of formation, meV per atom: -674